[1]
{
  "formula": "Sr2HgPd3",
  "functional": "PBE",
  "state": "relaxed",
  "rho_g_cm3": 8.59,
  "e_form_ev_per_atom": -0.584,
  "cell": [[-4.041, 0.723, 4.125], [2.022, -5.326, -1.191], [6.592, 1.101, 6.264]],
  "species": ["Sr", "Sr", "Sr", "Sr", "Hg", "Hg", "Pd", "Pd", "Pd", "Pd", "Pd", "Pd"],
  "fractional_positions": [[0.667, 0.333, 0.434], [0.333, 0.667, 0.566], [0.333, 0.667, 0.934], [0.667, 0.333, 0.066], [0.000, 0.000, 0.500], [0.000, 0.000, 0.000], [0.171, 0.343, 0.250], [0.343, 0.171, 0.750], [0.829, 0.657, 0.750], [0.171, 0.829, 0.250], [0.829, 0.171, 0.750], [0.657, 0.829, 0.250]]
}

***

[2]
{
  "formula": "Sc2GeMoC",
  "functional": "PBE",
  "state": "relaxed",
  "rho_g_cm3": 5.48,
  "e_form_ev_per_atom": -0.442,
  "cell": [[4.489, 0.000, 0.000], [0.000, 4.489, 0.000], [0.000, 0.000, 4.066]],
  "species": ["Sc", "Sc", "C", "Mo", "Ge"],
  "fractional_positions": [[0.000, 0.500, 0.000], [0.500, 0.000, 0.000], [0.000, 0.000, 0.000], [0.000, 0.000, 0.500], [0.500, 0.500, 0.500]]
}

***

[3]
{
  "formula": "Tb8HgRu2",
  "functional": "PBE",
  "state": "relaxed",
  "rho_g_cm3": 9.12,
  "e_form_ev_per_atom": -0.216,
  "cell": [[5.520, -0.048, -0.073], [-0.979, 7.787, -0.084], [-0.979, -3.076, 7.154]],
  "species": ["Tb", "Tb", "Tb", "Tb", "Tb", "Tb", "Tb", "Tb", "Hg", "Ru", "Ru"],
  "fractional_positions": [[0.918, 0.933, 0.671], [0.918, 0.671, 0.933], [0.302, 0.618, 0.618], [0.500, 0.754, 0.246], [0.500, 0.246, 0.754], [0.698, 0.382, 0.382], [0.082, 0.329, 0.067], [0.082, 0.067, 0.329], [0.500, 0.000, 0.000], [0.000, 0.311, 0.689], [0.000, 0.689, 0.311]]
}

***

[4]
{
  "formula": "Dy3AlZn",
  "functional": "PBE",
  "state": "relaxed",
  "rho_g_cm3": 7.32,
  "e_form_ev_per_atom": -0.147,
  "cell": [[-6.069, 3.197, -4.026], [-5.341, 1.009, 6.318], [1.049, 7.967, 2.210]],
  "species": ["Dy", "Dy", "Dy", "Dy", "Dy", "Dy", "Dy", "Dy", "Dy", "Dy", "Dy", "Dy", "Al", "Al", "Al", "Al", "Zn", "Zn", "Zn", "Zn"],
  "fractional_positions": [[0.400, 0.342, 0.940], [0.100, 0.060, 0.658], [0.600, 0.658, 0.060], [0.900, 0.940, 0.342], [0.034, 0.693, 0.032], [0.466, 0.968, 0.307], [0.966, 0.307, 0.968], [0.534, 0.032, 0.693], [0.390, 0.366, 0.408], [0.110, 0.592, 0.634], [0.610, 0.634, 0.592], [0.890, 0.408, 0.366], [0.250, 0.983, 0.017], [0.750, 0.017, 0.983], [0.250, 0.717, 0.283], [0.750, 0.283, 0.717], [0.667, 0.250, 0.193], [0.833, 0.807, 0.750], [0.333, 0.750, 0.807], [0.167, 0.193, 0.250]]
}

***

[5]
{
  "formula": "HoTh2UAs4",
  "functional": "PBE",
  "state": "relaxed",
  "rho_g_cm3": 9.41,
  "e_form_ev_per_atom": -1.253,
  "cell": [[4.167, 0.000, 0.000], [0.000, 7.254, 0.141], [0.000, -2.520, 6.760]],
  "species": ["Ho", "Th", "Th", "U", "As", "As", "As", "As"],
  "fractional_positions": [[0.000, 0.000, 0.000], [0.500, 0.000, 0.500], [0.000, 0.500, 0.500], [0.500, 0.500, 0.000], [0.500, 0.247, 0.239], [0.500, 0.753, 0.761], [0.000, 0.254, 0.762], [0.000, 0.746, 0.238]]
}

***

[6]
{
  "formula": "CuSb2Ir",
  "functional": "PBE",
  "state": "relaxed",
  "rho_g_cm3": 11.00,
  "e_form_raw_mev_per_atom": 272,
  "cell": [[4.591, 0.000, 0.000], [0.000, 4.593, 0.000], [0.000, 0.000, 3.574]],
  "species": ["Cu", "Ir", "Sb", "Sb"],
  "fractional_positions": [[0.500, 0.000, 0.500], [0.000, 0.500, 0.500], [0.000, 0.000, 0.000], [0.500, 0.500, 0.000]]
}

***

[7]
{
  "formula": "RbSn3O",
  "functional": "PBE",
  "state": "relaxed",
  "rho_g_cm3": 5.71,
  "e_form_raw_mev_per_atom": -146,
  "cell": [[-2.213, 1.449, 4.365], [3.779, -2.190, 2.642], [2.623, 4.377, -0.123]],
  "species": ["O", "Sn", "Sn", "Sn", "Rb"],
  "fractional_positions": [[0.000, 0.000, 0.000], [0.000, 0.500, 0.000], [0.000, 0.000, 0.500], [0.500, 0.000, 0.000], [0.500, 0.500, 0.500]]
}

***

[8]
{
  "formula": "MgZrTe3",
  "functional": "PBE",
  "state": "relaxed",
  "rho_g_cm3": 4.69,
  "e_form_raw_mev_per_atom": -194,
  "cell": [[-3.897, -2.896, -2.807], [1.279, -4.589, 2.960], [-3.825, 1.416, 3.849]],
  "species": ["Mg", "Te", "Te", "Te", "Zr"],
  "fractional_positions": [[0.500, 0.500, 0.500], [0.000, 0.500, 0.000], [0.000, 0.000, 0.500], [0.500, 0.000, 0.000], [0.000, 0.000, 0.000]]
}